Here is a geometry-optimized Tb2TmZn3Pt2Au structure from OQMD. Energies are from PBE.

Cell: 3.8518 7.3397 7.3397 Å, 119.80 90.00 90.00°
Last column: nearest neighbours and their distance in Å.
Sites, in units of the cell vectors:
Zn 0.5000 0.9992 0.7409  2 Au 2.70, 2 Pt 2.75-2.80
Pt 0.5000 0.3377 0.6657  3 Zn 2.74-2.80, 2 Tm 2.91, 4 Tb 2.95-2.96
Tm 0.0000 0.5911 0.5911  4 Pt 2.91, 1 Au 2.99, 6 Zn 3.11-3.26
Pt 0.5000 0.6657 0.3377  3 Zn 2.74-2.80, 2 Tm 2.91, 4 Tb 2.95-2.96
Zn 0.5000 0.2588 0.2588  2 Au 2.73, 2 Pt 2.74
Au 0.0000 0.9966 0.9966  6 Zn 2.70-2.73, 1 Tm 2.99
Tb 0.0000 0.4102 0.9998  4 Pt 2.95-2.96, 1 Au 3.02, 6 Zn 3.10-3.27
Tb 0.0000 0.9998 0.4102  4 Pt 2.95-2.96, 1 Au 3.02, 6 Zn 3.10-3.27
Zn 0.5000 0.7409 0.9992  2 Au 2.70, 2 Pt 2.75-2.80

Values from the calculation:
Crystal system   orthorhombic
SG   Amm2, No. 38
Calculated formation energy   -0.89 eV/atom

Here is a geometry-optimized Tb3Zn3Pt2Au structure from OQMD. Energies are from PBE.

Cell: 7.3940 7.3940 3.8528 Å, 90.00 90.00 120.00°
Last column: nearest neighbours and their distance in Å.
Sites, in units of the cell vectors:
Tb 0.0000 0.5916 0.0000  4 Pt 2.95, 1 Au 3.02, 6 Zn 3.12-3.27
Pt 0.3333 0.6667 0.5000  3 Zn 2.77, 6 Tb 2.95
Tb 0.4084 0.4084 0.0000  4 Pt 2.95, 1 Au 3.02, 6 Zn 3.12-3.27
Zn 0.7398 0.7398 0.5000  2 Au 2.72, 2 Pt 2.77
Pt 0.6667 0.3333 0.5000  3 Zn 2.77, 6 Tb 2.95
Zn 0.2602 0.0000 0.5000  2 Au 2.72, 2 Pt 2.77
Zn 0.0000 0.2602 0.5000  2 Au 2.72, 2 Pt 2.77
Au 0.0000 0.0000 0.0000  6 Zn 2.72, 3 Tb 3.02
Tb 0.5916 0.0000 0.0000  4 Pt 2.95, 1 Au 3.02, 6 Zn 3.12-3.27

Values from the calculation:
Crystal system   hexagonal
SG   P-62m, No. 189
Calculated formation energy   -0.88 eV/atom

Here is a geometry-optimized TcPtAu structure from OQMD. Energies are from PBE.

Cell: 4.2769 4.2769 4.2769 Å, 60.00 60.00 60.00°
Last column: nearest neighbours and their distance in Å.
Sites, in units of the cell vectors:
Pt 0.0000 0.0000 0.0000  4 Tc 2.62, 4 Au 2.62
Au 0.2500 0.2500 0.2500  4 Pt 2.62
Tc 0.7500 0.7500 0.7500  4 Pt 2.62

Values from the calculation:
Energy above the most stable polymorph in this dataset   0.00 eV per formula unit
Crystal system   cubic
SG   F-43m, No. 216
Calculated formation energy   0.54 eV/atom

Here is a geometry-optimized TcPtAu2 structure from OQMD. Energies are from PBE.

Cell: 4.5473 4.5473 4.5473 Å, 60.00 60.00 60.00°
Last column: nearest neighbours and their distance in Å.
Sites, in units of the cell vectors:
Pt 0.2500 0.2500 0.2500  4 Au 2.78, 4 Tc 2.78
Tc 0.0000 0.0000 0.0000  4 Au 2.78, 4 Pt 2.78
Au 0.5000 0.5000 0.5000  4 Pt 2.78, 4 Au 2.78
Au 0.7500 0.7500 0.7500  4 Tc 2.78, 4 Au 2.78

Values from the calculation:
Crystal system   cubic
SG   F-43m, No. 216
Calculated formation energy   0.34 eV/atom

Here is a geometry-optimized TePtAu2 structure from OQMD. Energies are from PBE.

Cell: 4.7692 4.7692 4.7692 Å, 60.00 60.00 60.00°
Last column: nearest neighbours and their distance in Å.
Sites, in units of the cell vectors:
Au 0.0000 0.0000 0.0000  4 Te 2.92, 4 Au 2.92
Au 0.7500 0.7500 0.7500  4 Pt 2.92, 4 Au 2.92
Te 0.2500 0.2500 0.2500  4 Pt 2.92, 4 Au 2.92
Pt 0.5000 0.5000 0.5000  4 Au 2.92, 4 Te 2.92

Values from the calculation:
Raw total energy   -14.89 eV for the cell shown
Crystal system   cubic
SG   F-43m, No. 216

Here is a geometry-optimized TlTe3PtAu structure from OQMD. Energies are from PBE.

Cell: 13.6248 4.1859 11.6901 Å, 90.00 90.00 90.00°
Last column: nearest neighbours and their distance in Å.
Sites, in units of the cell vectors:
Au 0.5192 0.2500 0.4208  4 Te 2.79-3.05, 2 Au 2.84
Te 0.6038 0.2500 0.6625  1 Pt 2.74, 3 Au 2.85-3.05
Pt 0.0119 0.7500 0.3545  6 Te 2.69-2.76
Te 0.1038 0.2500 0.8375  1 Pt 2.74, 3 Au 2.85-3.05
Te 0.0948 0.7500 0.5634  3 Pt 2.69-2.72
Pt 0.5119 0.7500 0.1455  6 Te 2.69-2.76
Te 0.8962 0.7500 0.1625  1 Pt 2.74, 3 Au 2.85-3.05
Te 0.8722 0.7500 0.7181  2 Pt 2.76, 1 Au 2.79
Au 0.9808 0.7500 0.9208  4 Te 2.79-3.05, 2 Au 2.84
Pt 0.9881 0.2500 0.6455  6 Te 2.69-2.76
Te 0.3962 0.7500 0.3375  1 Pt 2.74, 3 Au 2.85-3.05
Au 0.0192 0.2500 0.0792  4 Te 2.79-3.05, 2 Au 2.84
Tl 0.6998 0.7500 0.4534  3 Au 3.25-3.33, 6 Te 3.47-3.59
Te 0.6278 0.2500 0.2181  2 Pt 2.76, 1 Au 2.79
Tl 0.1998 0.7500 0.0466  3 Au 3.25-3.33, 6 Te 3.47-3.59
Te 0.4052 0.2500 0.0634  3 Pt 2.69-2.72
Te 0.9052 0.2500 0.4366  3 Pt 2.69-2.72
Pt 0.4881 0.2500 0.8545  6 Te 2.69-2.76
Tl 0.8002 0.2500 0.9534  3 Au 3.25-3.33, 6 Te 3.47-3.59
Te 0.3722 0.7500 0.7819  2 Pt 2.76, 1 Au 2.79
Te 0.1278 0.2500 0.2819  2 Pt 2.76, 1 Au 2.79
Au 0.4808 0.7500 0.5792  4 Te 2.79-3.05, 2 Au 2.84
Tl 0.3002 0.2500 0.5466  3 Au 3.25-3.33, 6 Te 3.47-3.59
Te 0.5948 0.7500 0.9366  3 Pt 2.69-2.72

Values from the calculation:
Energy above the most stable polymorph in this dataset   0.31 eV per formula unit
Crystal system   orthorhombic
SG   Pnma, No. 62

Here is a geometry-optimized TlTe4PtAu3 structure from OQMD. Energies are from PBE.

Cell: 6.5584 6.5584 6.5584 Å, 90.00 90.00 90.00°
Last column: nearest neighbours and their distance in Å.
Sites, in units of the cell vectors:
Au 0.5000 0.0000 0.5000  4 Te 2.79
Tl 0.0000 0.0000 0.0000  4 Te 3.01
Te 0.7354 0.2646 0.7354  1 Pt 2.67, 3 Au 2.79
Te 0.2646 0.7354 0.7354  1 Pt 2.67, 3 Au 2.79
Pt 0.5000 0.5000 0.5000  4 Te 2.67
Te 0.2646 0.2646 0.2646  1 Pt 2.67, 3 Au 2.79
Te 0.7354 0.7354 0.2646  1 Pt 2.67, 3 Au 2.79
Au 0.5000 0.5000 0.0000  4 Te 2.79
Au 0.0000 0.5000 0.5000  4 Te 2.79

Values from the calculation:
Raw total energy   -30.51 eV for the cell shown
Crystal system   cubic
SG   P-43m, No. 215

Here is a geometry-optimized TlTe3PtAu structure from OQMD. Energies are from PBE.

Cell: 9.6607 4.2060 16.4350 Å, 90.00 90.00 90.00°
Last column: nearest neighbours and their distance in Å.
Sites, in units of the cell vectors:
Te 0.0063 0.7500 0.5911  3 Pt 2.69-2.74
Au 0.2152 0.7500 0.3200  2 Te 2.68-2.69, 2 Tl 2.97
Tl 0.5746 0.7500 0.7134  2 Au 2.97, 3 Te 3.11-3.28
Au 0.2848 0.2500 0.8200  2 Te 2.68-2.69, 2 Tl 2.97
Au 0.7152 0.7500 0.1800  2 Te 2.68-2.69, 2 Tl 2.97
Au 0.7848 0.2500 0.6800  2 Te 2.68-2.69, 2 Tl 2.97
Te 0.4937 0.2500 0.0911  3 Pt 2.69-2.74
Pt 0.1640 0.2500 0.5381  6 Te 2.69-2.75
Te 0.3537 0.2500 0.6622  1 Au 2.68, 1 Pt 2.74
Te 0.9937 0.2500 0.4089  3 Pt 2.69-2.74
Pt 0.6640 0.2500 0.9619  6 Te 2.69-2.75
Pt 0.3360 0.7500 0.0381  6 Te 2.69-2.75
Te 0.6463 0.7500 0.3378  1 Au 2.68, 1 Pt 2.74
Te 0.6900 0.2500 0.5264  1 Au 2.69, 2 Pt 2.75
Tl 0.4254 0.2500 0.2866  2 Au 2.97, 3 Te 3.11-3.28
Te 0.1463 0.7500 0.1622  1 Au 2.68, 1 Pt 2.74
Tl 0.9254 0.2500 0.2134  2 Au 2.97, 3 Te 3.11-3.28
Te 0.8537 0.2500 0.8378  1 Au 2.68, 1 Pt 2.74
Tl 0.0746 0.7500 0.7866  2 Au 2.97, 3 Te 3.11-3.28
Pt 0.8360 0.7500 0.4619  6 Te 2.69-2.75
Te 0.3100 0.7500 0.4736  1 Au 2.69, 2 Pt 2.75
Te 0.8100 0.7500 0.0264  1 Au 2.69, 2 Pt 2.75
Te 0.5063 0.7500 0.9089  3 Pt 2.69-2.74
Te 0.1900 0.2500 0.9736  1 Au 2.69, 2 Pt 2.75

Values from the calculation:
Energy above the most stable polymorph in this dataset   0.17 eV per formula unit
Crystal system   orthorhombic
SG   Pnma, No. 62